# PrPaHg

An optimized crystal structure of PrPaHg (PBE-GGA, OQMD).

Cell lengths 7.3082, 7.3082, 7.3082 Å; angles 90.00, 90.00, 90.00 degrees
Closest atoms and distances in Å follow each position.
Space group F-43m (No. 216)
Inequivalent atoms, fractional coordinates:
Pr 0.0000 0.0000 0.0000 [4 per cell]  4 Hg 3.16
Pa 0.0000 0.0000 0.5000 [4 per cell]  4 Hg 3.16
Hg 0.2500 0.2500 0.7500 [4 per cell]  4 Pr 3.16, 4 Pa 3.16

The calculation puts the volume at 390.3 Å³ per cell. As for the total energy: -4.4027 eV per atom.